VASP calculation (PBE) on a geometry-optimized Nd3YH8 structure.

The spin magnetization comes out at 0.00 Bohr magnetons per cell. The volume is 158 Å³ per cell. The calculation puts the density at 5.58 g/cm3. The value obtained for the uncorrected energy is -4.637 eV/atom.

The structure belongs to space group Pm-3m (No. 221); the cell edges are 5.402, 5.402 and 5.402 Å and the angles 90.00°, 90.00° and 90.00°. Symmetry generates all atoms from Nd at (0.000, 0.000, 0.500), Y at (0.500, 0.500, 0.500) and H at (0.257, 0.257, 0.257).